A plane-wave DFT calculation with GGA-PBE was carried out for SrP2IO after structural relaxation.

## Properties
Formation energy (no corrections) in eV/f.u.: 3.2
Space-group type: P4/mmm (123)
Energy relative to the lowest polymorph listed for this composition in eV per atom: 0.530

Cell and atoms, written as POSCAR:
```
SrP2IO
1.0
-2.944 5.081 -1.440
-4.393 -1.441 3.896
2.135 2.144 3.200
I P O Sr
1 2 1 1
Direct
0.500 0.500 0.500
0.000 0.500 0.000
0.500 0.000 0.000
0.000 0.000 0.500
0.000 0.000 0.000
```